Record 1
A relaxed NaNiPd2N crystal. Source: Alexandria via LeMat-Bulk, functional PBE.

Computed properties:
**SG**: P4/mmm
**E**: -5.12 eV/atom
**Magnetization**: 0.0 μB per cell

Cell lengths 4.3659, 4.3659, 3.6145 Å; angles 90.00, 90.00, 90.00 degrees
Last column: nearest neighbours and their distance in Å.
Fractional positions:
Pd  0.5000  0.0000  0.0000  2 N 2.18
N  0.0000  0.0000  0.0000  2 Ni 1.81
Ni  0.0000  0.0000  0.5000  2 N 1.81
Pd  0.0000  0.5000  0.0000  2 N 2.18
Na  0.5000  0.5000  0.5000  8 Pd 2.83, 4 Ni 3.09

Record 2
A relaxed Na2NiPdN crystal. Source: Alexandria via LeMat-Bulk, functional PBE.

Computed properties:
**SG**: P4/mmm
**E**: -4.28 eV/atom
**Magnetization**: 0.0 μB per cell

Cell lengths 4.9500, 4.9500, 3.4311 Å; angles 90.00, 90.00, 90.00 degrees
Last column: nearest neighbours and their distance in Å.
Fractional positions:
N  0.0000  0.0000  0.0000  2 Ni 1.72
Na  0.5000  0.0000  0.0000  2 N 2.48
Na  0.0000  0.5000  0.0000  2 N 2.48
Ni  0.0000  0.0000  0.5000  2 N 1.72
Pd  0.5000  0.5000  0.5000  8 Na 3.01

Record 3
A relaxed NaNi2PdN crystal. Source: Alexandria via LeMat-Bulk, functional PBE.

Computed properties:
**SG**: P4/mmm
**E**: -5.20 eV/atom
**Magnetization**: 0.0 μB per cell

Cell lengths 3.7790, 3.7790, 4.4013 Å; angles 90.00, 90.00, 90.00 degrees
Last column: nearest neighbours and their distance in Å.
Fractional positions:
Ni  0.0000  0.5000  0.0000  2 N 1.89
N  0.0000  0.0000  0.0000  4 Ni 1.89
Na  0.5000  0.5000  0.5000  4 Pd 2.67, 8 Ni 2.90
Ni  0.5000  0.0000  0.0000  2 N 1.89
Pd  0.0000  0.0000  0.5000  2 N 2.20

Record 4
A relaxed NaNiRh2N crystal. Source: Alexandria via LeMat-Bulk, functional PBE.

Computed properties:
**SG**: P4/mmm
**E**: -5.87 eV/atom
**Magnetization**: 0.0 μB per cell

Cell lengths 4.1072, 4.1072, 3.8433 Å; angles 90.00, 90.00, 90.00 degrees
Last column: nearest neighbours and their distance in Å.
Fractional positions:
Rh  0.5000  0.0000  0.0000  2 N 2.05
Ni  0.0000  0.0000  0.5000  2 N 1.92
Na  0.5000  0.5000  0.5000  8 Rh 2.81, 4 Ni 2.90
N  0.0000  0.0000  0.0000  2 Ni 1.92, 4 Rh 2.05
Rh  0.0000  0.5000  0.0000  2 N 2.05

Record 5
A relaxed NaNi2RhN crystal. Source: Alexandria via LeMat-Bulk, functional PBE.

Computed properties:
**SG**: P4/mmm
**E**: -5.57 eV/atom
**Magnetization**: 0.0 μB per cell

Cell lengths 3.8605, 3.8605, 4.0833 Å; angles 90.00, 90.00, 90.00 degrees
Last column: nearest neighbours and their distance in Å.
Fractional positions:
Na  0.5000  0.5000  0.5000  4 Rh 2.73, 8 Ni 2.81
N  0.0000  0.0000  0.0000  4 Ni 1.93, 2 Rh 2.04
Ni  0.5000  0.0000  0.0000  2 N 1.93
Ni  0.0000  0.5000  0.0000  2 N 1.93
Rh  0.0000  0.0000  0.5000  2 N 2.04

Record 6
A relaxed NaNiSeN2 crystal. Source: Alexandria via LeMat-Bulk, functional PBE.

Computed properties:
**SG**: P4/mmm
**E**: -3.22 eV/atom
**Offset from the most stable computed form**: 1265 meV per atom
**Magnetization**: 6.7 μB per cell

Cell lengths 4.2027, 4.2027, 5.6629 Å; angles 90.00, 90.00, 90.00 degrees
Last column: nearest neighbours and their distance in Å.
Fractional positions:
N  0.5000  0.0000  0.0000  2 Na 2.10
Se  0.0000  0.0000  0.5000  2 Na 2.83, 4 Ni 2.97
N  0.0000  0.5000  0.0000  2 Na 2.10
Ni  0.5000  0.5000  0.5000  4 Se 2.97
Na  0.0000  0.0000  0.0000  4 N 2.10

Record 7
A relaxed NaNiSeN2 crystal. Source: Alexandria via LeMat-Bulk, functional PBE.

Computed properties:
**SG**: P4/mmm
**E**: -4.48 eV/atom
**Offset from the most stable computed form**: 0 meV per atom
**Magnetization**: 0.0 μB per cell

Cell lengths 3.7543, 3.7543, 5.1208 Å; angles 90.00, 90.00, 90.00 degrees
Last column: nearest neighbours and their distance in Å.
Fractional positions:
Ni  0.0000  0.0000  0.0000  4 N 1.88
N  0.0000  0.5000  0.0000  2 Ni 1.88
Na  0.5000  0.5000  0.5000  4 Se 2.65
Se  0.0000  0.0000  0.5000  2 Ni 2.56, 4 Na 2.65
N  0.5000  0.0000  0.0000  2 Ni 1.88

Record 8
A relaxed NaSr2NiN crystal. Source: Alexandria via LeMat-Bulk, functional PBE.

Computed properties:
**SG**: P4/mmm
**E**: -3.92 eV/atom
**Magnetization**: 0.0 μB per cell

Cell lengths 5.5909, 5.5909, 3.6956 Å; angles 90.00, 90.00, 90.00 degrees
Last column: nearest neighbours and their distance in Å.
Fractional positions:
Sr  0.0000  0.5000  0.0000  2 N 2.80
N  0.0000  0.0000  0.0000  2 Ni 1.85
Ni  0.0000  0.0000  0.5000  2 N 1.85
Na  0.5000  0.5000  0.5000  8 Sr 3.35, 2 Na 3.70
Sr  0.5000  0.0000  0.0000  2 N 2.80

no.,raw formation energy (kJ/mol of atoms)
1,4.0
2,10.8
3,7.5
4,15.0
5,13.2
6,215.2
7,93.2
8,-15.7